Material: MnFeMo
Method: DFT, PBE
State: optimized geometry

Lattice parameters (Å, degrees): 6.463 6.306 2.594 81.69 74.90 23.40
Element x y z (fractional)
Fe 0.995 0.995 0.005
Mn 0.338 0.338 0.662
Mo 0.667 0.667 0.333

Output
- spin magnetization (μB per formula unit) = 3.75
- uncorrected energy (eV/atom) = -9.34
- E_form (meV/atom) = 150
- DOS(E_F) (states/eV/cell) = 2.4
- space-group type = Fmm2
- relative energy among the computed polymorphs (meV per atom) = 183



Material: MnFeMo
Method: DFT, PBE
State: optimized geometry

Lattice parameters (Å, degrees): 4.805 4.805 4.805 143.46 143.46 52.64
Element x y z (fractional)
Fe 0.998 0.998 0.000
Mo 0.666 0.666 0.000
Mn 0.336 0.336 0.000

Output
- spin magnetization (μB per formula unit) = 3.62
- uncorrected energy (eV/atom) = -9.40
- E_form (meV/atom) = 87
- DOS(E_F) (states/eV/cell) = 2.3
- space-group type = I4mm
- relative energy among the computed polymorphs (meV per atom) = 120